(1)
LuMgFe PBE relaxed; SG = F-43m; mass density = 5.8 g/cm3; VASP energy = -3.815 eV per atom
1.0
3.532 -2.884 -1.113
-0.903 -4.174 -1.948
1.072 -0.769 -4.504
Fe Lu Mg
1 1 1
Direct
0.250 0.250 0.250 Fe
0.000 0.000 0.000 Lu
0.750 0.750 0.750 Mg

(2)
LuMg2Fe PBE relaxed; SG = F-43m; mass density = 6.1 g/cm3; VASP energy = -3.742 eV per atom
1.0
0.000 3.360 3.360
3.360 0.000 3.360
3.360 3.360 0.000
Fe Lu Mg
1 1 2
Direct
0.250 0.250 0.250 Fe
0.500 0.500 0.500 Lu
0.000 0.000 0.000 Mg
0.750 0.750 0.750 Mg

(3)
LuMgFe PBE relaxed; SG = F-43m; mass density = 6.1 g/cm3; VASP energy = -4.013 eV per atom
1.0
0.000 3.270 3.270
3.270 0.000 3.270
3.270 3.270 0.000
Fe Lu Mg
1 1 1
Direct
0.250 0.250 0.250 Fe
0.750 0.750 0.750 Lu
0.000 0.000 0.000 Mg

(4)
LuMgNbFe PBE relaxed; SG = F-43m; mass density = 8.0 g/cm3; VASP energy = -5.872 eV per atom; excess energy over the best structure of this formula in the dataset = 0.0 meV per atom
1.0
0.000 3.312 3.312
3.312 0.000 3.312
3.312 3.312 0.000
Fe Lu Mg Nb
1 1 1 1
Direct
0.250 0.250 0.250 Fe
0.000 0.000 0.000 Lu
0.750 0.750 0.750 Mg
0.500 0.500 0.500 Nb

(5)
LuMgNbFe PBE relaxed; SG = F-43m; mass density = 8.2 g/cm3; VASP energy = -5.792 eV per atom; excess energy over the best structure of this formula in the dataset = 79.8 meV per atom
1.0
1.444 -3.872 2.099
0.964 0.043 4.533
-2.786 -2.196 2.983
Fe Lu Mg Nb
1 1 1 1
Direct
0.500 0.500 0.500 Fe
0.000 0.000 0.000 Lu
0.750 0.750 0.750 Mg
0.250 0.250 0.250 Nb

(6)
LuMgFePb PBE relaxed; SG = F-43m; mass density = 9.6 g/cm3; VASP energy = -4.328 eV per atom; excess energy over the best structure of this formula in the dataset = 0.0 meV per atom
1.0
0.785 1.472 4.540
2.671 3.945 0.836
-2.099 4.042 1.629
Fe Lu Mg Pb
1 1 1 1
Direct
0.750 0.750 0.750 Fe
0.500 0.500 0.500 Lu
0.250 0.250 0.250 Mg
0.000 0.000 0.000 Pb

(7)
LuMgFePb PBE relaxed; SG = F-43m; mass density = 9.1 g/cm3; VASP energy = -4.322 eV per atom; excess energy over the best structure of this formula in the dataset = 6.2 meV per atom
1.0
4.534 -1.728 0.839
3.089 2.500 2.909
1.177 -1.771 4.442
Fe Lu Mg Pb
1 1 1 1
Direct
0.750 0.750 0.750 Fe
0.250 0.250 0.250 Lu
0.500 0.500 0.500 Mg
0.000 0.000 0.000 Pb

(8)
LuMgFeSi PBE relaxed; SG = F-43m; mass density = 7.5 g/cm3; VASP energy = -4.942 eV per atom; excess energy over the best structure of this formula in the dataset = 0.0 meV per atom
1.0
-0.998 1.228 4.179
-3.870 -1.272 1.839
-0.025 -3.039 3.277
Fe Lu Mg Si
1 1 1 1
Direct
0.750 0.750 0.750 Fe
0.500 0.500 0.500 Lu
0.250 0.250 0.250 Mg
0.000 0.000 0.000 Si

(9)
LuMgFeSi PBE relaxed; SG = F-43m; mass density = 7.3 g/cm3; VASP energy = -4.932 eV per atom; excess energy over the best structure of this formula in the dataset = 9.4 meV per atom
1.0
-0.966 -2.548 3.587
-3.597 -2.711 -0.066
0.549 -4.467 -0.196
Fe Lu Mg Si
1 1 1 1
Direct
0.750 0.750 0.750 Fe
0.250 0.250 0.250 Lu
0.500 0.500 0.500 Mg
0.000 0.000 0.000 Si

(10)
LuMgFeSn PBE relaxed; SG = F-43m; mass density = 7.9 g/cm3; VASP energy = -4.560 eV per atom; excess energy over the best structure of this formula in the dataset = 44.4 meV per atom
1.0
-2.546 -3.044 2.727
-3.520 -2.628 -1.971
0.556 -4.753 -0.536
Fe Lu Mg Sn
1 1 1 1
Direct
0.750 0.750 0.750 Fe
0.250 0.250 0.250 Lu
0.500 0.500 0.500 Mg
0.000 0.000 0.000 Sn

(11)
LuMgFeSn PBE relaxed; SG = F-43m; mass density = 8.3 g/cm3; VASP energy = -4.604 eV per atom; excess energy over the best structure of this formula in the dataset = 0.0 meV per atom
1.0
0.000 3.345 3.345
3.345 0.000 3.345
3.345 3.345 0.000
Fe Lu Mg Sn
1 1 1 1
Direct
0.750 0.750 0.750 Fe
0.500 0.500 0.500 Lu
0.250 0.250 0.250 Mg
0.000 0.000 0.000 Sn

(12)
LuMgTaFe PBE relaxed; SG = F-43m; mass density = 10.3 g/cm3; VASP energy = -6.185 eV per atom; excess energy over the best structure of this formula in the dataset = 97.0 meV per atom
1.0
0.000 3.278 3.278
3.278 0.000 3.278
3.278 3.278 0.000
Fe Lu Mg Ta
1 1 1 1
Direct
0.000 0.000 0.000 Fe
0.500 0.500 0.500 Lu
0.750 0.750 0.750 Mg
0.250 0.250 0.250 Ta

Question: Among the records above, which one has the lowest mass density?
Answer: number 1

What did the fourth record say?
LuMgNbFe PBE relaxed; SG = F-43m; mass density = 8.0 g/cm3; VASP energy = -5.872 eV per atom; excess energy over the best structure of this formula in the dataset = 0.0 meV per atom
1.0
0.000 3.312 3.312
3.312 0.000 3.312
3.312 3.312 0.000
Fe Lu Mg Nb
1 1 1 1
Direct
0.250 0.250 0.250 Fe
0.000 0.000 0.000 Lu
0.750 0.750 0.750 Mg
0.500 0.500 0.500 Nb

Question: What is the mass density in the twelfth record?
Answer: 10.3 g/cm3